Material: MgSnP2
Method: DFT, GGA-PBE
State: relaxed Values from VASP.

The calculation puts the energy above the most stable polymorph in this dataset at 0.00 kcal/mol of atoms. The calculation puts the total energy at -17.67 eV/f.u. The value obtained for the formation energy from the elements is -0.31 eV per atom. For the density of states at the Fermi level, the calculation gives 0.000 states/eV/f.u. Its calculated density is 3.3 g/cm3. As for the volume: 102.0 Å³/f.u. The total moment comes out at 0.00 μB per formula unit.

Quantum ESPRESSO input file:
```
&SYSTEM
  ibrav = 0, nat = 8, ntyp = 3
/
ATOMIC_SPECIES
Sn 118.71 Sn.upf
Mg 24.30 Mg.upf
P 30.97 P.upf
ATOMIC_POSITIONS angstrom
Sn 5.934 2.967 2.896
Mg 2.967 5.934 2.896
P 4.451 4.437 4.345
P 1.470 4.451 1.448
Mg 2.967 2.967 0.000
P 7.418 7.432 4.345
P 4.464 1.484 1.448
Sn 0.000 0.000 0.000
CELL_PARAMETERS angstrom
5.934 0.000 0.000
0.000 5.934 0.000
2.967 2.967 5.793
```

Material: MgSnP
Method: DFT, GGA-PBE
State: relaxed Values from VASP.

The calculation puts the energy above the most stable polymorph in this dataset at 1.63 kcal/mol of atoms. The calculation puts the total energy at -11.72 eV/f.u. The value obtained for the formation energy from the elements is -0.24 eV per atom. For the density of states at the Fermi level, the calculation gives 0.513 states/eV/f.u. Its calculated density is 4.2 g/cm3. As for the volume: 69.0 Å³/f.u. The total moment comes out at 0.00 μB per formula unit.

Quantum ESPRESSO input file:
```
&SYSTEM
  ibrav = 0, nat = 6, ntyp = 3
/
ATOMIC_SPECIES
P 30.97 P.upf
Mg 24.30 Mg.upf
Sn 118.71 Sn.upf
ATOMIC_POSITIONS angstrom
P 6.007 3.013 2.624
Mg 4.480 1.166 1.475
Sn 2.278 -1.316 -0.251
Mg 4.127 2.826 4.692
P 2.602 0.982 3.533
Sn 1.115 -0.679 2.372
CELL_PARAMETERS angstrom
-0.247 -2.060 3.344
3.184 -2.068 -1.039
5.211 5.968 4.073
```